# 1
This record from Alexandria describes an optimized crystal structure of Al2ReH3. The functional is GGA-PBE.

## Properties
E_tot: -4.87 eV/atom
SG: No. 69

Lattice parameters (Å, degrees): 6.3340 5.6232 5.3079 70.76 56.95 52.30
Last column: nearest neighbours and their distance in Å.
Element x y z (fractional)
Al (0.2356, 0.7644, 0.7644)  2 H 1.84
Al (0.2500, 0.2500, 0.2500)  4 H 2.26
Al (0.7500, 0.7500, 0.7500)  4 H 2.26
Al (0.7644, 0.2356, 0.2356)  2 H 1.84
Re (0.2304, 0.2304, 0.7696)  3 H 1.70-1.71
Re (0.7696, 0.7696, 0.2304)  3 H 1.70-1.71
H (0.0386, 0.7500, 0.2500)  1 Re 1.70
H (0.2500, 0.9614, 0.0386)  1 Re 1.70
H (0.4140, 0.4140, 0.5860)  1 H 1.61, 1 Re 1.71
H (0.5860, 0.5860, 0.4140)  1 H 1.61, 1 Re 1.71
H (0.7500, 0.0386, 0.9614)  1 Re 1.70
H (0.9614, 0.2500, 0.7500)  1 Re 1.70

# 2
This record from Alexandria describes an optimized crystal structure of AlReH4. The functional is GGA-PBE.

## Properties
E_tot: -4.85 eV/atom
SG: No. 1

Lattice parameters (Å, degrees): 4.6205 4.8148 5.3823 97.40 98.23 108.42
Last column: nearest neighbours and their distance in Å.
Element x y z (fractional)
Al (0.0000, 0.0000, 0.0000)  2 H 1.94-2.11
Al (0.1957, 0.2615, 0.5296)  6 H 2.32-2.52, 1 Re 2.54
Re (0.6086, 0.2034, 0.2620)  5 H 1.67-1.86
Re (0.7819, 0.3721, 0.7479)  5 H 1.69-1.89
H (0.1340, 0.6350, 0.8733)  1 Re 1.69
H (0.4210, 0.4393, 0.1915)  1 Re 1.68
H (0.4709, 0.1612, 0.9130)  2 Re 1.86-1.89, 2 H 1.97-2.01
H (0.5173, 0.8437, 0.1349)  1 Re 1.67
H (0.5447, 0.0046, 0.5266)  2 Re 1.82-1.90
H (0.6427, 0.6490, 0.8445)  1 Re 1.71
H (0.8552, 0.5752, 0.4997)  2 Re 1.76-1.96
H (0.8886, 0.4385, 0.1059)  2 Re 1.81-1.88, 2 H 1.94-2.01

# 3
This record from Alexandria describes an optimized crystal structure of AlReH2. The functional is GGA-PBE.

## Properties
SG: No. 122
distance to the lowest polymorph of the same formula: 0 meV per atom

Lattice parameters (Å, degrees): 5.2594 5.2594 5.2594 134.74 134.74 65.94
Last column: nearest neighbours and their distance in Å.
Element x y z (fractional)
Al (0.0000, 0.0000, 0.0000)  4 H 1.84
Al (0.7500, 0.2500, 0.5000)  4 H 1.84
Re (0.2500, 0.7500, 0.5000)  4 H 1.78
Re (0.5000, 0.5000, 0.0000)  4 H 1.78
H (0.1393, 0.6250, 0.0143)  2 Re 1.78, 2 Al 1.84
H (0.3750, 0.3893, 0.5143)  2 Re 1.78, 2 Al 1.84
H (0.6107, 0.1250, 0.9857)  2 Re 1.78, 2 Al 1.84
H (0.8750, 0.8607, 0.4857)  2 Re 1.78, 2 Al 1.84

# 4
This record from Alexandria describes an optimized crystal structure of AlReH3. The functional is GGA-PBE.

## Properties
SG: No. 221
distance to the lowest polymorph of the same formula: 0 meV per atom

Lattice parameters (Å, degrees): 3.4806 3.4806 3.4806 90.00 90.00 90.00
Last column: nearest neighbours and their distance in Å.
Element x y z (fractional)
Al (0.0000, 0.0000, 0.0000)  12 H 2.46
Re (0.5000, 0.5000, 0.5000)  6 H 1.74
H (0.0000, 0.5000, 0.5000)  2 Re 1.74
H (0.5000, 0.0000, 0.5000)  2 Re 1.74
H (0.5000, 0.5000, 0.0000)  2 Re 1.74

# 5
This record from Alexandria describes an optimized crystal structure of AlRe3H. The functional is GGA-PBE.

## Properties
SG: No. 221
distance to the lowest polymorph of the same formula: 0 meV per atom

Lattice parameters (Å, degrees): 3.9560 3.9560 3.9560 90.00 90.00 90.00
Last column: nearest neighbours and their distance in Å.
Element x y z (fractional)
Al (0.0000, 0.0000, 0.0000)  12 Re 2.80
Re (0.0000, 0.5000, 0.5000)  2 H 1.98
Re (0.5000, 0.0000, 0.5000)  2 H 1.98
Re (0.5000, 0.5000, 0.0000)  2 H 1.98
H (0.5000, 0.5000, 0.5000)  6 Re 1.98

# 6
This record from Alexandria describes an optimized crystal structure of AlReH3. The functional is GGA-PBE.

## Properties
SG: No. 221
distance to the lowest polymorph of the same formula: 559 meV per atom

Lattice parameters (Å, degrees): 3.3487 3.3487 3.3487 90.00 90.00 90.00
Last column: nearest neighbours and their distance in Å.
Element x y z (fractional)
Al (0.0000, 0.0000, 0.0000)  6 H 1.67
Re (0.5000, 0.5000, 0.5000)  12 H 2.37
H (0.0000, 0.0000, 0.5000)  2 Al 1.67
H (0.0000, 0.5000, 0.0000)  2 Al 1.67
H (0.5000, 0.0000, 0.0000)  2 Al 1.67

# 7
This record from Alexandria describes an optimized crystal structure of AlReH2. The functional is GGA-PBE.

## Properties
SG: No. 225
distance to the lowest polymorph of the same formula: 526 meV per atom

Lattice parameters (Å, degrees): 3.7137 3.7137 3.7137 60.00 60.00 60.00
Last column: nearest neighbours and their distance in Å.
Element x y z (fractional)
Al (0.0000, 0.0000, 0.0000)  8 H 2.27
Re (0.5000, 0.5000, 0.5000)  8 H 2.27
H (0.2500, 0.2500, 0.2500)  4 Re 2.27, 4 Al 2.27
H (0.7500, 0.7500, 0.7500)  4 Re 2.27, 4 Al 2.27

# 8
This record from Alexandria describes an optimized crystal structure of Ta2AlReH. The functional is GGA-PBE.

## Properties
SG: No. 123
distance to the lowest polymorph of the same formula: 44 meV per atom

Lattice parameters (Å, degrees): 4.0771 4.0771 4.1031 90.00 90.00 90.00
Last column: nearest neighbours and their distance in Å.
Element x y z (fractional)
Ta (0.0000, 0.5000, 0.0000)  2 H 2.04
Ta (0.5000, 0.0000, 0.0000)  2 H 2.04
Al (0.0000, 0.0000, 0.5000)  2 H 2.05
Re (0.5000, 0.5000, 0.5000)  4 Al 2.88, 8 Ta 2.89
H (0.0000, 0.0000, 0.0000)  4 Ta 2.04, 2 Al 2.05

# 9
This record from Alexandria describes an optimized crystal structure of Ta2AlReH. The functional is GGA-PBE.

## Properties
SG: No. 123
distance to the lowest polymorph of the same formula: 0 meV per atom

Lattice parameters (Å, degrees): 4.1573 4.1573 3.9599 90.00 90.00 90.00
Last column: nearest neighbours and their distance in Å.
Element x y z (fractional)
Ta (0.0000, 0.5000, 0.0000)  2 H 2.08
Ta (0.5000, 0.0000, 0.0000)  2 H 2.08
Al (0.0000, 0.0000, 0.5000)  8 Ta 2.87, 4 Re 2.94
Re (0.5000, 0.5000, 0.5000)  2 H 1.98
H (0.5000, 0.5000, 0.0000)  2 Re 1.98, 4 Ta 2.08

# 10
This record from Alexandria describes an optimized crystal structure of Ti2AlReH. The functional is GGA-PBE.

## Properties
SG: No. 123
distance to the lowest polymorph of the same formula: 0 meV per atom

Lattice parameters (Å, degrees): 4.1984 4.1984 3.6693 90.00 90.00 90.00
Last column: nearest neighbours and their distance in Å.
Element x y z (fractional)
Ti (0.0000, 0.5000, 0.0000)  2 H 2.10
Ti (0.5000, 0.0000, 0.0000)  2 H 2.10
Al (0.0000, 0.0000, 0.5000)  8 Ti 2.79, 4 Re 2.97
Re (0.5000, 0.5000, 0.5000)  2 H 1.83
H (0.5000, 0.5000, 0.0000)  2 Re 1.83

# 11
This record from Alexandria describes an optimized crystal structure of Ti2AlReH. The functional is GGA-PBE.

## Properties
SG: No. 123
distance to the lowest polymorph of the same formula: 66 meV per atom

Lattice parameters (Å, degrees): 4.2097 4.2097 3.5785 90.00 90.00 90.00
Last column: nearest neighbours and their distance in Å.
Element x y z (fractional)
Ti (0.0000, 0.5000, 0.0000)  2 H 2.10
Ti (0.5000, 0.0000, 0.0000)  2 H 2.10
Al (0.0000, 0.0000, 0.5000)  2 H 1.79
Re (0.5000, 0.5000, 0.5000)  8 Ti 2.76, 4 Al 2.98
H (0.0000, 0.0000, 0.0000)  2 Al 1.79

# 12
This record from Alexandria describes an optimized crystal structure of Zr2AlReH. The functional is GGA-PBE.

## Properties
E_tot: -7.62 eV/atom
SG: No. 123

Lattice parameters (Å, degrees): 4.5267 4.5267 3.7611 90.00 90.00 90.00
Last column: nearest neighbours and their distance in Å.
Element x y z (fractional)
Zr (0.0000, 0.5000, 0.0000)  2 H 2.26
Zr (0.5000, 0.0000, 0.0000)  2 H 2.26
Al (0.0000, 0.0000, 0.5000)  8 Zr 2.94, 4 Re 3.20
Re (0.5000, 0.5000, 0.5000)  2 H 1.88
H (0.5000, 0.5000, 0.0000)  2 Re 1.88

For the records above, the corresponding D(E_F) values read 4.46; 2.55; 2.05; 2.68; 4.19; 1.97; 3.00; 1.91; 1.97; 4.40; 3.91; 3.86 states/eV per cell.